La2TaTl: optimized geometry, PBE.

Output
As for the calculated formation energy: 0.8 eV per formula unit. For the mass density, the calculation gives 9.95 g/cm3. The calculation puts the polymorph energy (0 for the lowest one) at 0.0554 eV/atom. The calculation puts the total energy at -5.820 eV/atom.

Lattice parameters (Å, degrees): 3.386 5.409 6.045 90.00 90.00 90.00
Element x y z (fractional)
La (0.000, 0.000, 0.000)
La (0.000, 0.500, 0.380)
Ta (0.500, 0.500, 0.851)
Tl (0.500, 0.000, 0.536)